# 1
VASP calculation (PBE) on Al2C3 after structural relaxation.

Output
ΔE to the lowest computed polymorph = 0.0000 eV per atom
spin magnetization = 0.0 μB per formula unit

Cell and atoms, written as CIF:
```
data_Al2C3
_symmetry_space_group_name_H-M 'F d d 2'
_symmetry_Int_Tables_number 43
_symmetry_space_group_name_Hall 'F 2 -2d'
_cell_length_a 8.2895
_cell_length_b 11.9056
_cell_length_c 5.8603
_cell_angle_alpha 90.00
_cell_angle_beta 90.00
_cell_angle_gamma 90.00
loop_
_atom_site_label
_atom_site_fract_x
_atom_site_fract_y
_atom_site_fract_z
Al1 0.1066 0.2922 0.0000
C1 0.0000 0.0000 0.3737
C2 0.1035 0.2107 0.6651
```



# 2
VASP calculation (PBE) on AlC3 after structural relaxation.

Output
ΔE to the lowest computed polymorph = 1.3372 eV per atom
spin magnetization = 0.1 μB per formula unit

Cell and atoms, written as CIF:
```
data_AlC3
_symmetry_space_group_name_H-M 'P 4/m m m'
_symmetry_Int_Tables_number 123
_symmetry_space_group_name_Hall '-P 4 2'
_cell_length_a 3.0247
_cell_length_b 3.0247
_cell_length_c 4.0486
_cell_angle_alpha 90.00
_cell_angle_beta 90.00
_cell_angle_gamma 90.00
loop_
_atom_site_label
_atom_site_fract_x
_atom_site_fract_y
_atom_site_fract_z
Al1 0.0000 0.0000 0.0000
C1 0.0000 0.0000 0.5000
C2 0.5000 0.5000 0.3329
```



# 3
VASP calculation (PBE) on AlC after structural relaxation.

Output
ΔE to the lowest computed polymorph = 0.3934 eV per atom
spin magnetization = 0.0 μB per formula unit

Cell and atoms, written as CIF:
```
data_AlC
_symmetry_space_group_name_H-M 'P -6 2 m'
_symmetry_Int_Tables_number 189
_symmetry_space_group_name_Hall 'P -6 -2'
_cell_length_a 5.4499
_cell_length_b 5.4499
_cell_length_c 2.5142
_cell_angle_alpha 90.00
_cell_angle_beta 90.00
_cell_angle_gamma 120.00
loop_
_atom_site_label
_atom_site_fract_x
_atom_site_fract_y
_atom_site_fract_z
Al1 0.0000 0.3644 0.0000
C1 0.0000 0.0000 0.0000
C2 0.3333 0.6667 0.5000
```



# 4
VASP calculation (PBE) on AlC3 after structural relaxation.

Output
ΔE to the lowest computed polymorph = 1.0289 eV per atom
spin magnetization = 0.0 μB per formula unit

Cell and atoms, written as CIF:
```
data_AlC3
_symmetry_space_group_name_H-M 'I m m m'
_symmetry_Int_Tables_number 71
_symmetry_space_group_name_Hall '-I 2 2'
_cell_length_a 2.4195
_cell_length_b 5.3451
_cell_length_c 7.1897
_cell_angle_alpha 90.00
_cell_angle_beta 90.00
_cell_angle_gamma 90.00
loop_
_atom_site_label
_atom_site_fract_x
_atom_site_fract_y
_atom_site_fract_z
Al1 0.0000 0.0000 0.0000
C1 0.0000 0.1900 0.5000
C2 0.0000 0.5000 0.0000
```



# 5
VASP calculation (PBE) on AlC3 after structural relaxation.

Output
ΔE to the lowest computed polymorph = 1.3736 eV per atom
spin magnetization = 0.0 μB per formula unit

Cell and atoms, written as CIF:
```
data_AlC3
_symmetry_space_group_name_H-M 'I m -3 m'
_symmetry_Int_Tables_number 229
_symmetry_space_group_name_Hall '-I 4 2 3'
_cell_length_a 4.0635
_cell_length_b 4.0635
_cell_length_c 4.0635
_cell_angle_alpha 90.00
_cell_angle_beta 90.00
_cell_angle_gamma 90.00
loop_
_atom_site_label
_atom_site_fract_x
_atom_site_fract_y
_atom_site_fract_z
Al1 0.0000 0.0000 0.0000
C1 0.0000 0.0000 0.5000
```



# 6
VASP calculation (PBE) on AlC3 after structural relaxation.

Output
ΔE to the lowest computed polymorph = 0.2270 eV per atom
spin magnetization = 0.0 μB per formula unit

Cell and atoms, written as CIF:
```
data_AlC3
_symmetry_space_group_name_H-M 'P m m 2'
_symmetry_Int_Tables_number 25
_cell_length_a 2.5765
_cell_length_b 6.8974
_cell_length_c 3.0769
_cell_angle_alpha 90.00
_cell_angle_beta 90.00
_cell_angle_gamma 90.00
loop_
_symmetry_equiv_pos_as_xyz
'x,y,z'
'-x,-y,z'
'-x,y,z'
'x,-y,z'
loop_
_atom_site_label
_atom_site_fract_x
_atom_site_fract_y
_atom_site_fract_z
Al1 0.0000 0.0000 0.0000
C1 0.0000 0.5000 0.9882
C2 0.5000 0.0000 0.5000
C3 0.5000 0.5000 0.9880
```



# 7
VASP calculation (PBE) on AlC after structural relaxation.

Output
ΔE to the lowest computed polymorph = 0.3840 eV per atom
spin magnetization = 0.0 μB per formula unit

Cell and atoms, written as CIF:
```
data_AlC
_symmetry_space_group_name_H-M 'C 1 2/m 1'
_symmetry_Int_Tables_number 12
_cell_length_a 8.5224
_cell_length_b 3.0020
_cell_length_c 3.1376
_cell_angle_alpha 90.00
_cell_angle_beta 108.38
_cell_angle_gamma 90.00
loop_
_symmetry_equiv_pos_as_xyz
'x,y,z'
'-x,-y,-z'
'-x,y,-z'
'x,-y,z'
'x+1/2,y+1/2,z'
'-x+1/2,-y+1/2,-z'
'-x+1/2,y+1/2,-z'
'x+1/2,-y+1/2,z'
loop_
_atom_site_label
_atom_site_fract_x
_atom_site_fract_y
_atom_site_fract_z
Al1 0.1520 0.0000 0.1919
C1 0.0919 0.5000 0.6602
```



# 8
VASP calculation (PBE) on AlC after structural relaxation.

Output
ΔE to the lowest computed polymorph = 0.7384 eV per atom
spin magnetization = 0.2 μB per formula unit

Cell and atoms, written as CIF:
```
data_AlC
_symmetry_space_group_name_H-M 'P 6/m m m'
_symmetry_Int_Tables_number 191
_symmetry_space_group_name_Hall '-P 6 2'
_cell_length_a 5.1483
_cell_length_b 5.1483
_cell_length_c 2.8723
_cell_angle_alpha 90.00
_cell_angle_beta 90.00
_cell_angle_gamma 120.00
loop_
_atom_site_label
_atom_site_fract_x
_atom_site_fract_y
_atom_site_fract_z
Al1 0.0000 0.5000 0.0000
C1 0.0000 0.0000 0.0000
C2 0.3333 0.6667 0.5000
```



# 9
VASP calculation (PBE) on AlC4 after structural relaxation.

Output
ΔE to the lowest computed polymorph = 0.0000 eV per atom
spin magnetization = 0.0 μB per formula unit

Cell and atoms, written as CIF:
```
data_AlC4
_symmetry_space_group_name_H-M 'P -3 m 1'
_symmetry_Int_Tables_number 164
_symmetry_space_group_name_Hall '-P 3 2"'
_cell_length_a 2.6941
_cell_length_b 2.6941
_cell_length_c 6.1300
_cell_angle_alpha 90.00
_cell_angle_beta 90.00
_cell_angle_gamma 120.00
loop_
_atom_site_label
_atom_site_fract_x
_atom_site_fract_y
_atom_site_fract_z
Al1 0.0000 0.0000 0.0000
C1 0.3333 0.6667 0.2160
C2 0.3333 0.6667 0.4516
```



# 10
VASP calculation (PBE) on AlC3 after structural relaxation.

Output
ΔE to the lowest computed polymorph = 2.4183 eV per atom
spin magnetization = 0.0 μB per formula unit

Cell and atoms, written as CIF:
```
data_AlC3
_symmetry_space_group_name_H-M 'P m -3 m'
_symmetry_Int_Tables_number 221
_symmetry_space_group_name_Hall '-P 4 2 3'
_cell_length_a 3.9372
_cell_length_b 3.9372
_cell_length_c 3.9372
_cell_angle_alpha 90.00
_cell_angle_beta 90.00
_cell_angle_gamma 90.00
loop_
_atom_site_label
_atom_site_fract_x
_atom_site_fract_y
_atom_site_fract_z
Al1 0.0000 0.0000 0.0000
C1 0.0000 0.0000 0.5000
```



# 11
VASP calculation (PBE) on Al2C3 after structural relaxation.

Output
ΔE to the lowest computed polymorph = 0.1188 eV per atom
spin magnetization = 0.0 μB per formula unit

Cell and atoms, written as CIF:
```
data_Al2C3
_symmetry_space_group_name_H-M 'P -3 m 1'
_symmetry_Int_Tables_number 164
_symmetry_space_group_name_Hall '-P 3 2"'
_cell_length_a 2.9218
_cell_length_b 2.9218
_cell_length_c 6.5685
_cell_angle_alpha 90.00
_cell_angle_beta 90.00
_cell_angle_gamma 120.00
loop_
_atom_site_label
_atom_site_fract_x
_atom_site_fract_y
_atom_site_fract_z
Al1 0.3333 0.6667 0.3403
C1 0.0000 0.0000 0.5000
C2 0.3333 0.6667 0.0374
```



# 12
VASP calculation (PBE) on Al5C after structural relaxation.

Output
ΔE to the lowest computed polymorph = 0.1090 eV per atom
spin magnetization = 0.0 μB per formula unit

Cell and atoms, written as CIF:
```
data_Al5C
_symmetry_space_group_name_H-M 'C m m m'
_symmetry_Int_Tables_number 65
_symmetry_space_group_name_Hall '-C 2 2'
_cell_length_a 5.0059
_cell_length_b 12.1479
_cell_length_c 2.9928
_cell_angle_alpha 90.00
_cell_angle_beta 90.00
_cell_angle_gamma 90.00
loop_
_atom_site_label
_atom_site_fract_x
_atom_site_fract_y
_atom_site_fract_z
Al1 0.0000 0.0000 0.0000
Al2 0.0000 0.1951 0.5000
Al3 0.0000 0.3889 0.0000
C1 0.0000 0.5000 0.5000
```



# 13
VASP calculation (PBE) on AlC after structural relaxation.

Output
ΔE to the lowest computed polymorph = 0.0527 eV per atom
spin magnetization = 0.0 μB per formula unit

Cell and atoms, written as CIF:
```
data_AlC
_symmetry_space_group_name_H-M 'R -3 m'
_symmetry_Int_Tables_number 166
_symmetry_space_group_name_Hall '-R 3 2"'
_cell_length_a 2.5746
_cell_length_b 2.5746
_cell_length_c 32.0211
_cell_angle_alpha 90.00
_cell_angle_beta 90.00
_cell_angle_gamma 120.00
loop_
_atom_site_label
_atom_site_fract_x
_atom_site_fract_y
_atom_site_fract_z
Al1 0.0000 0.0000 0.1298
C1 0.0000 0.0000 0.3333
```



# 14
VASP calculation (PBE) on AlC3 after structural relaxation.

Output
ΔE to the lowest computed polymorph = 1.5826 eV per atom
spin magnetization = 0.0 μB per formula unit

Cell and atoms, written as CIF:
```
data_AlC3
_symmetry_space_group_name_H-M 'I 4/m m m'
_symmetry_Int_Tables_number 139
_symmetry_space_group_name_Hall '-I 4 2'
_cell_length_a 2.6996
_cell_length_b 2.6996
_cell_length_c 9.7599
_cell_angle_alpha 90.00
_cell_angle_beta 90.00
_cell_angle_gamma 90.00
loop_
_atom_site_label
_atom_site_fract_x
_atom_site_fract_y
_atom_site_fract_z
Al1 0.0000 0.0000 0.0000
C1 0.0000 0.0000 0.5000
C2 0.0000 0.5000 0.2500
```



# 15
VASP calculation (PBE) on AlC after structural relaxation.

Output
ΔE to the lowest computed polymorph = 0.2376 eV per atom
spin magnetization = 0.0 μB per formula unit

Cell and atoms, written as CIF:
```
data_AlC
_symmetry_space_group_name_H-M 'P 4/m m m'
_symmetry_Int_Tables_number 123
_symmetry_space_group_name_Hall '-P 4 2'
_cell_length_a 2.8363
_cell_length_b 2.8363
_cell_length_c 5.7600
_cell_angle_alpha 90.00
_cell_angle_beta 90.00
_cell_angle_gamma 90.00
loop_
_atom_site_label
_atom_site_fract_x
_atom_site_fract_y
_atom_site_fract_z
Al1 0.0000 0.0000 0.2285
C1 0.5000 0.5000 0.3801
```



# 16
VASP calculation (PBE) on AlC3 after structural relaxation.

Output
ΔE to the lowest computed polymorph = 2.0868 eV per atom
spin magnetization = 0.0 μB per formula unit

Cell and atoms, written as CIF:
```
data_AlC3
_symmetry_space_group_name_H-M 'F m -3 m'
_symmetry_Int_Tables_number 225
_symmetry_space_group_name_Hall '-F 4 2 3'
_cell_length_a 5.1848
_cell_length_b 5.1848
_cell_length_c 5.1848
_cell_angle_alpha 90.00
_cell_angle_beta 90.00
_cell_angle_gamma 90.00
loop_
_atom_site_label
_atom_site_fract_x
_atom_site_fract_y
_atom_site_fract_z
Al1 0.0000 0.0000 0.0000
C1 0.0000 0.0000 0.5000
C2 0.2500 0.2500 0.2500
```



# 17
VASP calculation (PBE) on Al7C after structural relaxation.

Output
spin magnetization = 0.0 μB per formula unit
E = -124.7 eV/cell

Cell and atoms, written as CIF:
```
data_Al7C
_symmetry_space_group_name_H-M 'F m -3 m'
_symmetry_Int_Tables_number 225
_symmetry_space_group_name_Hall '-F 4 2 3'
_cell_length_a 7.8776
_cell_length_b 7.8776
_cell_length_c 7.8776
_cell_angle_alpha 90.00
_cell_angle_beta 90.00
_cell_angle_gamma 90.00
loop_
_atom_site_label
_atom_site_fract_x
_atom_site_fract_y
_atom_site_fract_z
Al1 0.0000 0.0000 0.0000
Al2 0.0000 0.2500 0.2500
C1 0.0000 0.0000 0.5000
```



# 18
VASP calculation (PBE) on AlC4 after structural relaxation.

Output
ΔE to the lowest computed polymorph = 2.7516 eV per atom
spin magnetization = 0.3 μB per formula unit

Cell and atoms, written as CIF:
```
data_AlC4
_symmetry_space_group_name_H-M 'P m -3 m'
_symmetry_Int_Tables_number 221
_symmetry_space_group_name_Hall '-P 4 2 3'
_cell_length_a 3.8928
_cell_length_b 3.8928
_cell_length_c 3.8928
_cell_angle_alpha 90.00
_cell_angle_beta 90.00
_cell_angle_gamma 90.00
loop_
_atom_site_label
_atom_site_fract_x
_atom_site_fract_y
_atom_site_fract_z
Al1 0.0000 0.0000 0.0000
C1 0.0000 0.0000 0.5000
C2 0.5000 0.5000 0.5000
```



# 19
VASP calculation (PBE) on Al3C4 after structural relaxation.

Output
ΔE to the lowest computed polymorph = 0.6365 eV per atom
spin magnetization = 2.0 μB per formula unit

Cell and atoms, written as CIF:
```
data_Al3C4
_symmetry_space_group_name_H-M 'P m -3 m'
_symmetry_Int_Tables_number 221
_symmetry_space_group_name_Hall '-P 4 2 3'
_cell_length_a 4.2090
_cell_length_b 4.2090
_cell_length_c 4.2090
_cell_angle_alpha 90.00
_cell_angle_beta 90.00
_cell_angle_gamma 90.00
loop_
_atom_site_label
_atom_site_fract_x
_atom_site_fract_y
_atom_site_fract_z
Al1 0.0000 0.0000 0.5000
C1 0.0000 0.0000 0.0000
C2 0.0000 0.5000 0.5000
```



# 20
VASP calculation (PBE) on Al4C after structural relaxation.

Output
spin magnetization = 0.0 μB per formula unit
E = -23.7 eV/cell

Cell and atoms, written as CIF:
```
data_Al4C
_symmetry_space_group_name_H-M 'P -3 m 1'
_symmetry_Int_Tables_number 164
_symmetry_space_group_name_Hall '-P 3 2"'
_cell_length_a 3.1174
_cell_length_b 3.1174
_cell_length_c 9.2483
_cell_angle_alpha 90.00
_cell_angle_beta 90.00
_cell_angle_gamma 120.00
loop_
_atom_site_label
_atom_site_fract_x
_atom_site_fract_y
_atom_site_fract_z
Al1 0.3333 0.6667 0.1101
Al2 0.3333 0.6667 0.3887
C1 0.0000 0.0000 0.5000
```